#P
VASP calculation (PBE) on LiTaOsPb after structural relaxation.

a = 6.4950 Å, b = 6.4950 Å, c = 6.4950 Å
α = 90.00°, β = 90.00°, γ = 90.00°
Sites, in units of the cell vectors:
Li 0.0000 0.0000 0.0000
Li 0.0000 0.5000 0.5000
Li 0.5000 0.0000 0.5000
Li 0.5000 0.5000 0.0000
Ta 0.0000 0.0000 0.5000
Ta 0.0000 0.5000 0.0000
Ta 0.5000 0.0000 0.0000
Ta 0.5000 0.5000 0.5000
Os 0.2500 0.2500 0.7500
Os 0.2500 0.7500 0.2500
Os 0.7500 0.2500 0.2500
Os 0.7500 0.7500 0.7500
Pb 0.2500 0.2500 0.2500
Pb 0.2500 0.7500 0.7500
Pb 0.7500 0.2500 0.7500
Pb 0.7500 0.7500 0.2500

## Properties
- magnetic moment (μB/cell) = 0.0
- symmetry = F-43m, No. 216

---

#Q
VASP calculation (PBE) on LiTaOsPb after structural relaxation.

a = 6.4394 Å, b = 6.4394 Å, c = 6.4394 Å
α = 90.00°, β = 90.00°, γ = 90.00°
Sites, in units of the cell vectors:
Li 0.0000 0.0000 0.0000
Li 0.0000 0.5000 0.5000
Li 0.5000 0.0000 0.5000
Li 0.5000 0.5000 0.0000
Ta 0.2500 0.2500 0.7500
Ta 0.2500 0.7500 0.2500
Ta 0.7500 0.2500 0.2500
Ta 0.7500 0.7500 0.7500
Os 0.0000 0.0000 0.5000
Os 0.0000 0.5000 0.0000
Os 0.5000 0.0000 0.0000
Os 0.5000 0.5000 0.5000
Pb 0.2500 0.2500 0.2500
Pb 0.2500 0.7500 0.7500
Pb 0.7500 0.2500 0.7500
Pb 0.7500 0.7500 0.2500

## Properties
- magnetic moment (μB/cell) = 0.0
- symmetry = F-43m, No. 216

---

#R
VASP calculation (PBE) on LiTaOsPb after structural relaxation.

a = 6.4707 Å, b = 6.4707 Å, c = 6.4707 Å
α = 90.00°, β = 90.00°, γ = 90.00°
Sites, in units of the cell vectors:
Li 0.0000 0.0000 0.0000
Li 0.0000 0.5000 0.5000
Li 0.5000 0.0000 0.5000
Li 0.5000 0.5000 0.0000
Ta 0.2500 0.2500 0.7500
Ta 0.2500 0.7500 0.2500
Ta 0.7500 0.2500 0.2500
Ta 0.7500 0.7500 0.7500
Os 0.2500 0.2500 0.2500
Os 0.2500 0.7500 0.7500
Os 0.7500 0.2500 0.7500
Os 0.7500 0.7500 0.2500
Pb 0.0000 0.0000 0.5000
Pb 0.0000 0.5000 0.0000
Pb 0.5000 0.0000 0.0000
Pb 0.5000 0.5000 0.5000

## Properties
- magnetic moment (μB/cell) = 0.0
- symmetry = F-43m, No. 216

---

Stability, lowest: #R

---

#P
VASP calculation (PBE) on RbLiOs after structural relaxation.

a = 6.9069 Å, b = 6.9069 Å, c = 6.9069 Å
α = 90.00°, β = 90.00°, γ = 90.00°
Sites, in units of the cell vectors:
Rb 0.0000 0.0000 0.0000
Rb 0.0000 0.5000 0.5000
Rb 0.5000 0.0000 0.5000
Rb 0.5000 0.5000 0.0000
Li 0.2500 0.2500 0.7500
Li 0.2500 0.7500 0.2500
Li 0.7500 0.2500 0.2500
Li 0.7500 0.7500 0.7500
Os 0.0000 0.0000 0.5000
Os 0.0000 0.5000 0.0000
Os 0.5000 0.0000 0.0000
Os 0.5000 0.5000 0.5000

## Properties
- magnetic moment (μB/cell) = 8.1
- symmetry = F-43m, No. 216

---

#Q
VASP calculation (PBE) on RbLiOs after structural relaxation.

a = 7.1377 Å, b = 7.1377 Å, c = 7.1377 Å
α = 90.00°, β = 90.00°, γ = 90.00°
Sites, in units of the cell vectors:
Rb 0.0000 0.0000 0.0000
Rb 0.0000 0.5000 0.5000
Rb 0.5000 0.0000 0.5000
Rb 0.5000 0.5000 0.0000
Li 0.2500 0.2500 0.7500
Li 0.2500 0.7500 0.2500
Li 0.7500 0.2500 0.2500
Li 0.7500 0.7500 0.7500
Os 0.2500 0.2500 0.2500
Os 0.2500 0.7500 0.7500
Os 0.7500 0.2500 0.7500
Os 0.7500 0.7500 0.2500

## Properties
- magnetic moment (μB/cell) = 8.1
- symmetry = F-43m, No. 216

---

Stability, lowest: #Q